# 1
This record from the Alexandria database describes an optimized crystal structure of SbI4. The functional is PBE-GGA.

For the raw formation energy, the calculation gives 0.06 eV/atom. The value obtained for the offset from the most stable computed form is 29.9 kJ/mol of atoms.

The structure belongs to space group Pm-3m (No. 221); the cell edges are 6.024, 6.024 and 6.024 Å and the angles 90.00°, 90.00° and 90.00°. Symmetry generates all atoms from Sb at (0.000, 0.000, 0.000), I at (0.000, 0.000, 0.500) and I at (0.500, 0.500, 0.500).

# 2
This record from the Alexandria database describes an optimized crystal structure of TaZn3Re. The functional is PBE-GGA.

The value obtained for the offset from the most stable computed form is 51.7 kJ/mol of atoms. The calculation puts the formation energy at 2.030 eV/atom.

The structure belongs to space group Pm-3m (No. 221); the cell edges are 4.872, 4.872 and 4.872 Å and the angles 90.00°, 90.00° and 90.00°. Symmetry generates all atoms from Ta at (0.000, 0.000, 0.000), Zn at (0.000, 0.000, 0.500) and Re at (0.500, 0.500, 0.500).